Record 1
First-principles (PBE-GGA) data for a geometry-optimized Li2NdYGe2 structure, as listed in Alexandria.

Results
formation energy from the elements = -16.0 kcal/mol of atoms
D(E_F) = 1.156 states/eV/f.u.
space group = No. 164
final energy = -4.7408 eV/atom

extended XYZ file:
```
6
Lattice="4.456 0.000 0.000 -2.228 3.859 0.000 0.000 0.000 7.374" Properties=species:S:1:pos:R:3 pbc="T T T"
Li 2.228 1.286 2.032
Li 0.000 2.573 5.342
Y 0.000 0.000 3.687
Ge 0.000 2.573 1.917
Ge 2.228 1.286 5.457
Nd 0.000 0.000 0.000
```


Record 2
First-principles (PBE-GGA) data for a geometry-optimized LiNdZnGe2 structure, as listed in Alexandria.

Results
formation energy from the elements = -12.6 kcal/mol of atoms
D(E_F) = 2.874 states/eV/f.u.
space group = No. 119
final energy = -3.9826 eV/atom

extended XYZ file:
```
5
Lattice="4.195 0.000 0.000 0.000 4.195 0.000 -2.097 -2.097 5.499" Properties=species:S:1:pos:R:3 pbc="T T T"
Ge 2.097 2.097 1.259
Ge 0.000 0.000 4.239
Nd 0.000 0.000 0.000
Zn 0.000 2.097 2.749
Li 2.097 0.000 2.749
```


Which value of final energy does entry 2 give?
-3.9826 eV/atom